[1]
This record from Alexandria via LeMat-Bulk describes a relaxed Pm2Ho5Th4 crystal. The functional is PBE-GGA.

Output
* V: 33.03 Å³ per atom
* theoretical density: 9.34 g/cm³
* E_tot: -5.452 eV per atom
* formation enthalpy at 0 K: 191 meV per atom
* excess energy over the best structure of this formula in the dataset: 0.109 eV per atom

a b c (Å): 16.759 6.685 6.580
angles (deg): 90.00 99.63 90.00
Space group C2/m (No. 12)
One atom of each set of equivalent atoms:
1 Pm 0.197 0.000 0.326 (multiplicity 4)
2 Ho 0.000 0.000 0.500 (multiplicity 2)
3 Ho 0.086 0.261 0.903 (multiplicity 8)
4 Th 0.091 0.500 0.408 (multiplicity 4)
5 Th 0.249 0.000 0.841 (multiplicity 4)

---

[2]
This record from Alexandria via LeMat-Bulk describes a relaxed Pm7Ho4Th crystal. The functional is PBE-GGA.

Output
* V: 34.21 Å³ per atom
* theoretical density: 7.71 g/cm³
* E_tot: -4.633 eV per atom
* formation enthalpy at 0 K: 282 meV per atom
* excess energy over the best structure of this formula in the dataset: 0.267 eV per atom

a b c (Å): 12.122 6.035 12.746
angles (deg): 90.00 118.29 90.00
Space group C2/m (No. 12)
One atom of each set of equivalent atoms:
1 Pm 0.000 0.000 0.000 (multiplicity 2)
2 Pm 0.128 0.500 0.498 (multiplicity 4)
3 Pm 0.209 0.000 0.921 (multiplicity 4)
4 Pm 0.236 0.000 0.676 (multiplicity 4)
5 Ho 0.067 0.000 0.318 (multiplicity 4)
6 Ho 0.138 0.500 0.776 (multiplicity 4)
7 Th 0.000 0.500 0.000 (multiplicity 2)

---

[3]
This record from Alexandria via LeMat-Bulk describes a relaxed Pm9Ho2Th crystal. The functional is PBE-GGA.

Output
* V: 33.61 Å³ per atom
* theoretical density: 7.69 g/cm³
* E_tot: -4.913 eV per atom
* formation enthalpy at 0 K: 31 meV per atom

a b c (Å): 5.123 5.123 15.370
angles (deg): 90.00 90.00 90.00
Space group P4/mmm (No. 123)
One atom of each set of equivalent atoms:
1 Pm 0.000 0.000 0.000 (multiplicity 1)
2 Pm 0.000 0.000 0.335 (multiplicity 2)
3 Pm 0.000 0.500 0.165 (multiplicity 4)
4 Pm 0.000 0.500 0.500 (multiplicity 2)
5 Ho 0.500 0.500 0.334 (multiplicity 2)
6 Th 0.500 0.500 0.000 (multiplicity 1)

---

[4]
This record from Alexandria via LeMat-Bulk describes a relaxed Pm10HoTh4 crystal. The functional is PBE-GGA.

Output
* V: 34.79 Å³ per atom
* theoretical density: 8.09 g/cm³
* E_tot: -5.081 eV per atom
* formation enthalpy at 0 K: 370 meV per atom

a b c (Å): 9.850 9.850 10.758
angles (deg): 90.00 90.00 90.00
Space group I4/m (No. 87)
One atom of each set of equivalent atoms:
1 Pm 0.000 0.500 0.250 (multiplicity 4)
2 Pm 0.117 0.210 0.159 (multiplicity 16)
3 Ho 0.000 0.000 0.500 (multiplicity 2)
4 Th 0.059 0.334 0.500 (multiplicity 8)

---

[5]
This record from Alexandria via LeMat-Bulk describes a relaxed Pm5Ho4Th crystal. The functional is PBE-GGA.

Output
* V: 32.99 Å³ per atom
* theoretical density: 8.14 g/cm³
* E_tot: -4.908 eV per atom
* formation enthalpy at 0 K: 41 meV per atom
* excess energy over the best structure of this formula in the dataset: 0.000 eV per atom

a b c (Å): 17.054 3.546 11.517
angles (deg): 90.00 108.67 90.00
Space group C2/m (No. 12)
One atom of each set of equivalent atoms:
1 Pm 0.000 0.000 0.000 (multiplicity 2)
2 Pm 0.190 0.500 0.082 (multiplicity 4)
3 Pm 0.203 0.500 0.611 (multiplicity 4)
4 Ho 0.082 0.500 0.296 (multiplicity 4)
5 Ho 0.105 0.000 0.798 (multiplicity 4)
6 Th 0.000 0.000 0.500 (multiplicity 2)

---

[6]
This record from Alexandria via LeMat-Bulk describes a relaxed PmHoTh2 crystal. The functional is PBE-GGA.

Output
* V: 32.47 Å³ per atom
* theoretical density: 9.90 g/cm³
* E_tot: -5.975 eV per atom
* formation enthalpy at 0 K: 67 meV per atom
* excess energy over the best structure of this formula in the dataset: 0.038 eV per atom

a b c (Å): 3.559 3.559 10.250
angles (deg): 90.00 90.00 90.00
Space group P4/mmm (No. 123)
One atom of each set of equivalent atoms:
1 Pm 0.000 0.000 0.000 (multiplicity 1)
2 Ho 0.000 0.000 0.500 (multiplicity 1)
3 Th 0.500 0.500 0.254 (multiplicity 2)

---

[7]
This record from Alexandria via LeMat-Bulk describes a relaxed Pm8Ho4Th crystal. The functional is PBE-GGA.

Output
* V: 35.80 Å³ per atom
* theoretical density: 7.32 g/cm³
* E_tot: -4.464 eV per atom
* formation enthalpy at 0 K: 439 meV per atom

a b c (Å): 11.7383 11.7383 11.7009
angles (deg): 90.00 90.00 120.00
Space group R-3m (No. 166, hexagonal axes)
One atom of each set of equivalent atoms:
1 Pm 0.0000 0.0000 0.2406 (multiplicity 6)
2 Pm 0.0005 0.5003 0.3301 (multiplicity 18)
3 Ho 0.0000 0.0000 0.0000 (multiplicity 3)
4 Ho 0.0000 0.5000 0.0000 (multiplicity 9)
5 Th 0.0000 0.0000 0.5000 (multiplicity 3)

---

[8]
This record from Alexandria via LeMat-Bulk describes a relaxed Pm2HoTh crystal. The functional is PBE-GGA.

Output
* V: 33.06 Å³ per atom
* theoretical density: 8.63 g/cm³
* E_tot: -5.350 eV per atom
* formation enthalpy at 0 K: 24 meV per atom
* excess energy over the best structure of this formula in the dataset: 0.000 eV per atom

a b c (Å): 3.6218 3.6218 34.9237
angles (deg): 90.00 90.00 120.00
Space group R3m (No. 160, hexagonal axes)
One atom of each set of equivalent atoms:
1 Pm 0.0000 0.0000 0.0000 (multiplicity 3)
2 Pm 0.0000 0.0000 0.1684 (multiplicity 3)
3 Ho 0.0000 0.0000 0.4180 (multiplicity 3)
4 Th 0.0000 0.0000 0.5842 (multiplicity 3)